# LiMgMoF2

A relaxed LiMgMoF2 crystal (PBE with a Hubbard U, Alexandria).

a = 4.033 Å, b = 5.102 Å, c = 4.033 Å
α = 90.00°, β = 90.00°, γ = 90.00°
Each line ends with the local moment (μB).
Sites, in units of the cell vectors:
Li: 0.000 0.000 0.000  -0.01
Mo: 0.500 0.500 0.500  4.01
Mg: 0.000 0.500 0.000  0.00
F: 0.000 0.000 0.500  0.05
F: 0.500 0.000 0.000  0.04

## Properties
Fermi-level density of states, states/eV per atom: 0.096
Energy, eV/f.u.: -18.5
Size of the total moment, μB per formula unit: 4.85